Material: CaCoH3
Method: DFT, PBE-GGA
State: relaxed

Lattice parameters (Å, degrees): 3.452 3.452 17.076 90.00 90.00 90.00
Space group I-4m2 (No. 119)
Inequivalent atoms, fractional coordinates:
Ca (0.000, 0.000, 0.105) x4
Co (0.000, 0.000, 0.500) x2
Co (0.000, 0.500, 0.250) x2
H (0.000, 0.225, 0.322) x8
H (0.000, 0.500, 0.000) x4

Computed properties:
V = 10.2 Å³/atom
Calculated total energy = -3.842 eV/atom
ρ = 3.331 Mg/m³